# Na2TaSe4 | the Alexandria database | GGA-PBE | relaxed
data_Na2TaSe4
_cell_length_a 5.1069
_cell_length_b 5.1069
_cell_length_c 14.8636
_cell_angle_alpha 90.00
_cell_angle_beta 90.00
_cell_angle_gamma 90.00
_symmetry_space_group_name_H-M 'I 4/m m m'
_symmetry_Int_Tables_number 139
_symmetry_space_group_name_Hall '-I 4 2'
loop_
_atom_site_label
_atom_site_fract_x
_atom_site_fract_y
_atom_site_fract_z
Na1 0.0000 0.0000 0.1369
Ta1 0.0000 0.0000 0.5000
Se1 0.0000 0.0000 0.3305
Se2 0.0000 0.5000 0.0000
# total energy	-65.9	eV for the cell shown
# offset from the most stable computed form	0.098	eV per atom
# raw formation energy	-643	meV per atom